K2Mn2WO6, relaxed, DFT GGA+U; energy = -0.248 Ha/atom; magnetic moment = 10.00 μB/cell; space group = C2/m
1.0
-2.694 1.126 4.684
4.233 -3.539 0.159
3.355 5.620 -0.657
K Mn W O
2 2 1 6
Direct
0.825 0.175 0.000 K
0.175 0.825 0.000 K
0.335 0.665 0.500 Mn
0.665 0.335 0.500 Mn
0.000 0.000 0.500 W
0.768 0.768 0.672 O
0.057 0.358 0.675 O
0.232 0.232 0.328 O
0.358 0.057 0.675 O
0.943 0.642 0.325 O
0.642 0.943 0.325 O